# AgOs2Rh PBE-GGA optimized geometry
data_AgOs2Rh
_chemical_formula_sum 'Ag1 Os2 Rh1'
_symmetry_space_group_name_H-M 'P m m m'
_symmetry_Int_Tables_number 47
_cell_length_a 2.754
_cell_length_b 4.635
_cell_length_c 4.774
_cell_angle_alpha 90.00
_cell_angle_beta 90.00
_cell_angle_gamma 90.00
loop_
_symmetry_equiv_pos_as_xyz
'x,y,z'
'-x,-y,-z'
'-x,-y,z'
'x,y,-z'
'x,-y,-z'
'-x,y,z'
'-x,y,-z'
'x,-y,z'
loop_
_atom_site_label
_atom_site_type_symbol
_atom_site_fract_x
_atom_site_fract_y
_atom_site_fract_z
Ag1 Ag 0.000 0.000 0.000
Os1 Os 0.000 0.500 0.500
Os2 Os 0.500 0.000 0.500
Rh1 Rh 0.500 0.500 0.000
# energy above the most stable polymorph in this dataset	446	meV per atom
# VASP energy	-7.472	eV per atom
# E_form	2.78	eV/f.u.